No. 1
# AcGd2N2, optimized geometry, DFT PBE-GGA
data_AcGd2N2
_chemical_formula_sum 'Ac2 Gd4 N4'
_cell_length_a 4.7220
_cell_length_b 4.7220
_cell_length_c 11.3512
_cell_angle_alpha 90.00
_cell_angle_beta 90.00
_cell_angle_gamma 90.00
_space_group_name_H-M_alt 'I 4/m m m'
_space_group_IT_number 139
_space_group_name_Hall '-I 4 2'
loop_
_atom_site_label
_atom_site_type_symbol
_atom_site_fract_x
_atom_site_fract_y
_atom_site_fract_z
Ac1 Ac 0.0000 0.0000 0.0000
Gd1 Gd 0.0000 0.0000 0.3697
N1 N 0.0000 0.5000 0.0000
# - Calculated volume: 253 Å³ per cell
# - Total DFT energy (no corrections): -6.255 eV per atom



No. 2
# LaHoC2, optimized geometry, DFT PBE-GGA
data_LaHoC2
_chemical_formula_sum 'La2 Ho2 C4'
_cell_length_a 4.0634
_cell_length_b 5.5785
_cell_length_c 6.8900
_cell_angle_alpha 90.00
_cell_angle_beta 90.00
_cell_angle_gamma 90.00
_space_group_name_H-M_alt 'A m m 2'
_space_group_IT_number 38
loop_
_space_group_symop_operation_xyz
'x,y,z'
'-x,-y,z'
'-x,y,z'
'x,-y,z'
'x,y+1/2,z+1/2'
'-x,-y+1/2,z+1/2'
'-x,y+1/2,z+1/2'
'x,-y+1/2,z+1/2'
loop_
_atom_site_label
_atom_site_type_symbol
_atom_site_fract_x
_atom_site_fract_y
_atom_site_fract_z
La1 La 0.0000 0.0000 0.0000
Ho1 Ho 0.5000 0.0000 0.4254
C1 C 0.5000 0.1242 0.7683
# - Calculated volume: 156 Å³ per cell
# - Total DFT energy (no corrections): -7.044 eV per atom



No. 3
# GdYPt2, optimized geometry, DFT PBE-GGA
data_GdYPt2
_chemical_formula_sum 'Gd2 Y2 Pt4'
_cell_length_a 4.5223
_cell_length_b 7.0872
_cell_length_c 5.5942
_cell_angle_alpha 90.00
_cell_angle_beta 90.00
_cell_angle_gamma 90.00
_space_group_name_H-M_alt 'P m n 21'
_space_group_IT_number 31
loop_
_space_group_symop_operation_xyz
'x,y,z'
'-x+1/2,-y,z+1/2'
'-x,y,z'
'x+1/2,-y,z+1/2'
loop_
_atom_site_label
_atom_site_type_symbol
_atom_site_fract_x
_atom_site_fract_y
_atom_site_fract_z
Gd1 Gd 0.0000 0.0685 0.0000
Y1 Y 0.0000 0.5673 0.2198
Pt1 Pt 0.0000 0.2066 0.5137
Pt2 Pt 0.0000 0.7050 0.7061
# - Energy of formation from the pure elements: -1.26 eV/atom
# - Calculated volume: 179 Å³ per cell



No. 4
# Li2Zn2InGaPt2, optimized geometry, DFT PBE-GGA
data_Li2Zn2InGaPt2
_chemical_formula_sum 'Li2 Zn2 In1 Ga1 Pt2'
_cell_length_a 4.3922
_cell_length_b 4.3922
_cell_length_c 6.2840
_cell_angle_alpha 90.00
_cell_angle_beta 90.00
_cell_angle_gamma 90.00
_space_group_name_H-M_alt 'P -4 m 2'
_space_group_IT_number 115
loop_
_space_group_symop_operation_xyz
'x,y,z'
'y,-x,-z'
'-x,-y,z'
'-y,x,-z'
'-x,y,z'
'-y,-x,-z'
'x,-y,z'
'y,x,-z'
loop_
_atom_site_label
_atom_site_type_symbol
_atom_site_fract_x
_atom_site_fract_y
_atom_site_fract_z
Li1 Li 0.0000 0.5000 0.2334
Zn1 Zn 0.0000 0.0000 0.0000
Zn2 Zn 0.5000 0.5000 0.5000
In1 In 0.0000 0.0000 0.5000
Ga1 Ga 0.5000 0.5000 0.0000
Pt1 Pt 0.0000 0.5000 0.7690
# - Calculated volume: 121 Å³ per cell
# - Total DFT energy (no corrections): -3.597 eV per atom